1.
Density functional theory data (PBE) for a relaxed Sm6PC2Br3 crystal.

The calculation puts the density of states at the Fermi level at 0.3252 states/eV per atom. For the formation energy (no corrections), the calculation gives -1.101 eV per atom. The value obtained for the total magnetization is 0.00 μB/cell.

Cell and atoms, written as CIF:
```
data_Sm6PC2Br3
_chemical_formula_sum 'Sm12 P2 C4 Br6'
_cell_length_a 6.733
_cell_length_b 11.662
_cell_length_c 7.652
_cell_angle_alpha 90.00
_cell_angle_beta 107.06
_cell_angle_gamma 90.00
_space_group_name_H-M_alt 'C 1 2/m 1'
_space_group_IT_number 12
_space_group_name_Hall '-C 2y'
loop_
_atom_site_label
_atom_site_type_symbol
_atom_site_fract_x
_atom_site_fract_y
_atom_site_fract_z
_atom_site_occupancy
Sm1 Sm 0.206 0.000 0.186 1
Sm2 Sm 0.240 0.322 0.186 1
P1 P 0.000 0.500 0.000 1
C1 C 0.000 0.167 0.000 1
Br1 Br 0.000 0.000 0.500 1
Br2 Br 0.000 0.336 0.500 1
```


2.
Density functional theory data (PBE) for a relaxed ScSi2Au crystal.

The calculation puts the density of states at the Fermi level at 0.4363 states/eV per atom. For the formation energy (no corrections), the calculation gives -0.354 eV per atom. The value obtained for the total magnetization is 0.00 μB/cell.

Cell and atoms, written as CIF:
```
data_ScSi2Au
_chemical_formula_sum 'Sc2 Si4 Au2'
_cell_length_a 3.859
_cell_length_b 3.859
_cell_length_c 8.956
_cell_angle_alpha 90.00
_cell_angle_beta 90.00
_cell_angle_gamma 90.00
_space_group_name_H-M_alt 'I -4 m 2'
_space_group_IT_number 119
_space_group_name_Hall 'I -4 -2'
loop_
_atom_site_label
_atom_site_type_symbol
_atom_site_fract_x
_atom_site_fract_y
_atom_site_fract_z
_atom_site_occupancy
Sc1 Sc 0.000 0.000 0.000 1
Si1 Si 0.000 0.000 0.500 1
Si2 Si 0.000 0.500 0.750 1
Au1 Au 0.000 0.500 0.250 1
```


3.
Density functional theory data (PBE) for a relaxed KGa3Tc crystal.

The calculation puts the density of states at the Fermi level at 0.3612 states/eV per atom. The calculation puts the formation enthalpy at 0 K at -97.0 meV/atom. The value obtained for the total magnetization is 0.00 μB/cell.

Cell and atoms, written as CIF:
```
data_KGa3Tc
_chemical_formula_sum 'K4 Ga12 Tc4'
_cell_length_a 8.885
_cell_length_b 5.223
_cell_length_c 10.097
_cell_angle_alpha 90.00
_cell_angle_beta 97.76
_cell_angle_gamma 90.00
_space_group_name_H-M_alt 'C 1 2/m 1'
_space_group_IT_number 12
_space_group_name_Hall '-C 2y'
loop_
_atom_site_label
_atom_site_type_symbol
_atom_site_fract_x
_atom_site_fract_y
_atom_site_fract_z
_atom_site_occupancy
K1 K 0.191 0.000 0.104 1
Ga1 Ga 0.048 0.500 0.277 1
Ga2 Ga 0.111 0.000 0.724 1
Ga3 Ga 0.242 0.000 0.455 1
Tc1 Tc 0.000 0.251 0.500 1
```


4.
Density functional theory data (PBE) for a relaxed BaSrRu2 crystal.

The calculation puts the density of states at the Fermi level at 1.8975 states/eV per atom. The calculation puts the formation enthalpy at 0 K at 929.4 meV/atom. The value obtained for the total magnetization is 1.48 μB/cell.

Cell and atoms, written as CIF:
```
data_BaSrRu2
_chemical_formula_sum 'Ba1 Sr1 Ru2'
_cell_length_a 5.162
_cell_length_b 5.162
_cell_length_c 3.704
_cell_angle_alpha 90.00
_cell_angle_beta 90.00
_cell_angle_gamma 90.00
_space_group_name_H-M_alt 'P 4/m m m'
_space_group_IT_number 123
_space_group_name_Hall '-P 4 2'
loop_
_atom_site_label
_atom_site_type_symbol
_atom_site_fract_x
_atom_site_fract_y
_atom_site_fract_z
_atom_site_occupancy
Ba1 Ba 0.000 0.000 0.000 1
Sr1 Sr 0.500 0.500 0.000 1
Ru1 Ru 0.000 0.500 0.500 1
```


5.
Density functional theory data (PBE) for a relaxed TmPaAlGa crystal.

The calculation puts the density of states at the Fermi level at 1.4469 states/eV per atom. The calculation puts the formation enthalpy at 0 K at -212.6 meV/atom. The value obtained for the total magnetization is 2.30 μB/cell.

Cell and atoms, written as CIF:
```
data_TmPaAlGa
_chemical_formula_sum 'Tm4 Pa4 Al4 Ga4'
_cell_length_a 7.122
_cell_length_b 7.122
_cell_length_c 7.122
_cell_angle_alpha 90.00
_cell_angle_beta 90.00
_cell_angle_gamma 90.00
_space_group_name_H-M_alt 'F -4 3 m'
_space_group_IT_number 216
_space_group_name_Hall 'F -4 2 3'
loop_
_atom_site_label
_atom_site_type_symbol
_atom_site_fract_x
_atom_site_fract_y
_atom_site_fract_z
_atom_site_occupancy
Tm1 Tm 0.000 0.000 0.000 1
Pa1 Pa 0.000 0.000 0.500 1
Al1 Al 0.250 0.250 0.750 1
Ga1 Ga 0.250 0.250 0.250 1
```


6.
Density functional theory data (PBE) for a relaxed PrHoCuIr crystal.

The calculation puts the density of states at the Fermi level at 0.6815 states/eV per atom. The calculation puts the formation enthalpy at 0 K at -472.0 meV/atom. The value obtained for the total magnetization is 0.00 μB/cell.

Cell and atoms, written as CIF:
```
data_PrHoCuIr
_chemical_formula_sum 'Pr4 Ho4 Cu4 Ir4'
_cell_length_a 7.029
_cell_length_b 7.029
_cell_length_c 7.029
_cell_angle_alpha 90.00
_cell_angle_beta 90.00
_cell_angle_gamma 90.00
_space_group_name_H-M_alt 'F -4 3 m'
_space_group_IT_number 216
_space_group_name_Hall 'F -4 2 3'
loop_
_atom_site_label
_atom_site_type_symbol
_atom_site_fract_x
_atom_site_fract_y
_atom_site_fract_z
_atom_site_occupancy
Pr1 Pr 0.000 0.000 0.000 1
Ho1 Ho 0.000 0.000 0.500 1
Cu1 Cu 0.250 0.250 0.750 1
Ir1 Ir 0.250 0.250 0.250 1
```